LaZn6: relaxed, PBE.

Energy relative to the elements = -0.232 eV per atom
Space group = No. 62
V = 500.67 Å³/cell
Density = 7.0 Mg/m³
Total energy = -2.028 eV per atom

a = 5.1739 Å, b = 8.9476 Å, c = 10.8151 Å
α = 90.00°, β = 90.00°, γ = 90.00°
Fractional coordinates of all 28 atoms:
La (0.7500, 0.2387, 0.9411)
La (0.2500, 0.7613, 0.0589)
La (0.7500, 0.7387, 0.5589)
La (0.2500, 0.2613, 0.4411)
Zn (0.7500, 0.5764, 0.0222)
Zn (0.2500, 0.4236, 0.9778)
Zn (0.7500, 0.0764, 0.4778)
Zn (0.2500, 0.9236, 0.5222)
Zn (0.0104, 0.4302, 0.1907)
Zn (0.5104, 0.5698, 0.8093)
Zn (0.4896, 0.9302, 0.3093)
Zn (0.9896, 0.0698, 0.6907)
Zn (0.9896, 0.5698, 0.8093)
Zn (0.4896, 0.4302, 0.1907)
Zn (0.5104, 0.0698, 0.6907)
Zn (0.0104, 0.9302, 0.3093)
Zn (0.2500, 0.1339, 0.1446)
Zn (0.7500, 0.8661, 0.8554)
Zn (0.2500, 0.6339, 0.3554)
Zn (0.7500, 0.3661, 0.6446)
Zn (0.2500, 0.8068, 0.7487)
Zn (0.7500, 0.1932, 0.2513)
Zn (0.2500, 0.3068, 0.7513)
Zn (0.7500, 0.6932, 0.2487)
Zn (0.2500, 0.5497, 0.5941)
Zn (0.7500, 0.4503, 0.4059)
Zn (0.2500, 0.0497, 0.9059)
Zn (0.7500, 0.9503, 0.0941)